No. 1
Compound: TlHg2Pt
Source: Alexandria
Functional: PBE
Structure: relaxed

## Properties
For the energy above the most stable polymorph in this dataset, the calculation gives 19.6 kJ per mole of atoms. As for the total magnetic moment: 0.0000 μB per atom. The value obtained for the energy of formation is 19.76 kJ/mol of atoms. For the electronic total energy, the calculation gives -2.048 eV/atom. As for the space-group type: Fm-3m, No. 225.

Cell: 5.0229 5.0229 5.0229 Å, 60.00 60.00 60.00°
Last column: nearest neighbours and their distance in Å.
Positions (direct):
Tl 0.0000 0.0000 0.0000  8 Hg 3.08
Hg 0.2500 0.2500 0.2500  4 Tl 3.08, 4 Pt 3.08
Hg 0.7500 0.7500 0.7500  4 Tl 3.08, 4 Pt 3.08
Pt 0.5000 0.5000 0.5000  8 Hg 3.08


No. 2
Compound: Tl4Hg2Pt
Source: Alexandria
Functional: PBE
Structure: relaxed

## Properties
For the energy above the most stable polymorph in this dataset, the calculation gives 0.0 kJ per mole of atoms. As for the total magnetic moment: 0.0000 μB per atom. The value obtained for the energy of formation is -0.87 kJ/mol of atoms. For the electronic total energy, the calculation gives -2.310 eV/atom. As for the space-group type: P2/m, No. 10.

Cell: 6.1481 3.7615 9.0834 Å, 90.00 104.32 90.00°
Last column: nearest neighbours and their distance in Å.
Positions (direct):
Tl 0.1696 0.0000 0.3674  2 Pt 2.81, 1 Hg 3.12
Tl 0.3078 0.5000 0.7485  1 Pt 2.80
Tl 0.6922 0.5000 0.2515  1 Pt 2.80
Tl 0.8304 0.0000 0.6326  2 Pt 2.81, 1 Hg 3.12
Hg 0.2559 0.0000 0.0427  2 Hg 3.05-3.28, 3 Tl 3.12-3.35
Hg 0.7441 0.0000 0.9573  2 Hg 3.05-3.28, 3 Tl 3.12-3.35
Pt 0.5000 0.5000 0.5000  6 Tl 2.80-2.81